Density functional theory data (PBE) for a geometry-optimized Zn2Ir2I structure.

a b c (Å): 7.5480 7.5480 2.9524
angles (deg): 90.00 90.00 90.00
Space group P4/mbm (No. 127)
Asymmetric unit:
Zn (0.1204, 0.3796, 0.0000) x4
Ir (0.1733, 0.6733, 0.5000) x4
I (0.0000, 0.0000, 0.0000) x2

energy relative to the lowest polymorph listed for this composition: 159 meV per atom


Density functional theory data (PBE) for a geometry-optimized Zn2IrI structure.

a b c (Å): 6.6297 6.6297 6.6297
angles (deg): 90.00 90.00 90.00
Space group Fm-3m (No. 225)
Asymmetric unit:
Zn (0.2500, 0.2500, 0.2500) x8
Ir (0.0000, 0.0000, 0.0000) x4
I (0.0000, 0.0000, 0.5000) x4

energy relative to the lowest polymorph listed for this composition: 260 meV per atom


Density functional theory data (PBE) for a geometry-optimized ZrZn2IrI structure.

a b c (Å): 4.9929 4.9929 4.9457
angles (deg): 90.00 90.00 90.00
Space group P4/mmm (No. 123)
Asymmetric unit:
Zr (0.0000, 0.0000, 0.0000) x1
Zn (0.0000, 0.5000, 0.5000) x2
Ir (0.5000, 0.5000, 0.0000) x1
I (0.5000, 0.5000, 0.5000) x1


Density functional theory data (PBE) for a geometry-optimized Zr3IrI structure.

a b c (Å): 5.1481 5.1481 5.1481
angles (deg): 90.00 90.00 90.00
Space group Pm-3m (No. 221)
Asymmetric unit:
Zr (0.0000, 0.0000, 0.5000) x3
Ir (0.0000, 0.0000, 0.0000) x1
I (0.5000, 0.5000, 0.5000) x1

energy relative to the lowest polymorph listed for this composition: 0 meV per atom


Density functional theory data (PBE) for a geometry-optimized ZrIr3I structure.

a b c (Å): 4.8228 4.8228 4.8228
angles (deg): 90.00 90.00 90.00
Space group Pm-3m (No. 221)
Asymmetric unit:
Zr (0.0000, 0.0000, 0.0000) x1
Ir (0.0000, 0.5000, 0.5000) x3
I (0.5000, 0.5000, 0.5000) x1


Density functional theory data (PBE) for a geometry-optimized ZrIrI2 structure.

a b c (Å): 6.4543 6.4543 11.6951
angles (deg): 90.00 90.00 90.00
Space group I-42d (No. 122)
Asymmetric unit:
Zr (0.0000, 0.0000, 0.0000) x4
Ir (0.0000, 0.0000, 0.5000) x4
I (0.2205, 0.2500, 0.6250) x8

energy relative to the lowest polymorph listed for this composition: 128 meV per atom


Density functional theory data (PBE) for a geometry-optimized ZrIrI2 structure.

a b c (Å): 7.0681 7.0681 7.0681
angles (deg): 90.00 90.00 90.00
Space group Fm-3m (No. 225)
Asymmetric unit:
Zr (0.0000, 0.0000, 0.0000) x4
Ir (0.0000, 0.0000, 0.5000) x4
I (0.2500, 0.2500, 0.2500) x8

energy relative to the lowest polymorph listed for this composition: 0 meV per atom


Density functional theory data (PBE) for a geometry-optimized KI3 structure.

a b c (Å): 5.3083 10.8938 6.5396
angles (deg): 90.00 90.00 90.00
Space group Imm2 (No. 44)
Asymmetric unit:
K (0.0000, 0.0000, 0.0000) x2
I (0.0000, 0.3020, 0.7111) x4
I (0.0000, 0.5000, 0.0826) x2


Density functional theory data (PBE) for a geometry-optimized K2I structure.

a b c (Å): 4.3676 4.3676 16.3475
angles (deg): 90.00 90.00 90.00
Space group I4/mmm (No. 139)
Asymmetric unit:
K (0.0000, 0.0000, 0.1294) x4
I (0.0000, 0.0000, 0.5000) x2


Density functional theory data (PBE) for a geometry-optimized KI3 structure.

a b c (Å): 5.5087 8.3397 4.6600
angles (deg): 90.00 90.00 90.00
Space group Pmm2 (No. 25)
Asymmetric unit:
K (0.0000, 0.0000, 0.0000) x1
I (0.0000, 0.5000, 0.8357) x1
I (0.5000, 0.0000, 0.5017) x1
I (0.5000, 0.5000, 0.0229) x1


Density functional theory data (PBE) for a geometry-optimized KI2 structure.

a b c (Å): 6.6794 6.6789 6.9922
angles (deg): 90.00 118.37 90.00
Space group C2/m (No. 12)
Asymmetric unit:
K (0.0000, 0.0000, 0.0000) x2
I (0.1317, 0.5000, 0.2651) x4


Density functional theory data (PBE) for a geometry-optimized KI3 structure.

a b c (Å): 8.7466 8.7466 8.7466
angles (deg): 90.00 90.00 90.00
Space group Fm-3m (No. 225)
Asymmetric unit:
K (0.0000, 0.0000, 0.0000) x4
I (0.0000, 0.0000, 0.5000) x4
I (0.2500, 0.2500, 0.2500) x8


no.,spin magnetization (μB/atom),VASP energy (eV per atom),formation energy (no corrections) (eV/atom)
1,0.0000,-3.840,0.524
2,0.0000,-2.535,0.704
3,0.0025,-2.913,1.389
4,0.0000,-7.063,0.148
5,0.0000,-5.826,1.511
6,0.1813,-4.519,0.608
7,0.0000,-4.647,0.481
8,0.5070,-1.904,-0.467
9,0.0000,-2.149,-0.901
10,0.0000,-2.074,-0.637
11,0.3155,-2.196,-0.797
12,0.5000,-1.825,-0.388